The following is a DFT calculation (PBE-GGA) of a relaxed structure of AsPt2Rh.

Geometry as CIF:
```
data_AsPt2Rh
_cell_length_a 8.6807
_cell_length_b 8.6807
_cell_length_c 8.6807
_cell_angle_alpha 19.23
_cell_angle_beta 19.23
_cell_angle_gamma 19.23
_space_group_name_H-M_alt 'P 1'
_space_group_IT_number 1
loop_
_space_group_symop_operation_xyz
'x,y,z'
loop_
_atom_site_label
_atom_site_type_symbol
_atom_site_fract_x
_atom_site_fract_y
_atom_site_fract_z
_atom_site_occupancy
As1 As 0.0000 0.0000 0.0000 1
Pt1 Pt 0.2527 0.2527 0.2527 1
Pt2 Pt 0.4952 0.4952 0.4952 1
Rh1 Rh 0.7389 0.7389 0.7389 1
```

Properties
E_form: -7.7 kJ/mol of atoms
E: -6.1004 eV/atom